Entry i
Density functional theory data (PBE) for a relaxed YNb3Cr crystal.

Values from the calculation:
Symmetry: Pm-3m, No. 221
Calculated volume: 106.66 Å³ per cell

Cell lengths 4.7425, 4.7425, 4.7425 Å; angles 90.00, 90.00, 90.00 degrees
Sites, in units of the cell vectors:
Y 0.0000 0.0000 0.0000
Nb 0.0000 0.5000 0.5000
Nb 0.5000 0.0000 0.5000
Nb 0.5000 0.5000 0.0000
Cr 0.5000 0.5000 0.5000

---

Entry ii
Density functional theory data (PBE) for a relaxed YNb3Cr crystal.

Values from the calculation:
Symmetry: Pm-3m, No. 221
Calculated volume: 115.97 Å³ per cell

Cell lengths 4.8765, 4.8765, 4.8765 Å; angles 90.00, 90.00, 90.00 degrees
Sites, in units of the cell vectors:
Y 0.0000 0.0000 0.0000
Nb 0.0000 0.0000 0.5000
Nb 0.0000 0.5000 0.0000
Nb 0.5000 0.0000 0.0000
Cr 0.5000 0.5000 0.5000

---

It is entry ii that is the least stable of them.